[1]
Material: CaHgSe3
Method: DFT, PBE-GGA
State: optimized geometry

Output
E_form (uncorrected): -0.220 eV/atom
V: 29.17 A^3/atom
total magnetization: 0.00 μB/cell

```
data_CaHgSe3
_chemical_formula_sum 'Ca1 Hg1 Se3'
_cell_length_a 5.264
_cell_length_b 5.264
_cell_length_c 5.264
_cell_angle_alpha 90.00
_cell_angle_beta 90.00
_cell_angle_gamma 90.00
_space_group_name_H-M_alt 'P 1'
_space_group_IT_number 1
loop_
_space_group_symop_operation_xyz
'x,y,z'
loop_
_atom_site_label
_atom_site_fract_x
_atom_site_fract_y
_atom_site_fract_z
Ca1 0.500 0.500 0.500
Hg1 0.000 0.000 0.000
Se1 0.000 0.500 0.000
Se2 0.000 0.000 0.500
Se3 0.500 0.000 0.000
```

=====

[2]
Material: Cs4Ca3PuCl12
Method: DFT, PBE-GGA
State: optimized geometry

Output
E_form (uncorrected): -2.167 eV/atom
V: 33.55 A^3/atom
total magnetization: 6.00 μB/cell

```
data_Cs4Ca3PuCl12
_chemical_formula_sum 'Cs4 Ca3 Pu1 Cl12'
_cell_length_a 9.552
_cell_length_b 9.552
_cell_length_c 9.552
_cell_angle_alpha 109.47
_cell_angle_beta 109.47
_cell_angle_gamma 109.47
_space_group_name_H-M_alt 'P 1'
_space_group_IT_number 1
loop_
_space_group_symop_operation_xyz
'x,y,z'
loop_
_atom_site_label
_atom_site_fract_x
_atom_site_fract_y
_atom_site_fract_z
Cs1 0.500 0.500 0.500
Cs2 0.000 0.000 0.500
Cs3 0.500 0.000 0.000
Cs4 0.000 0.500 0.000
Ca1 0.500 0.000 0.500
Ca2 0.500 0.500 0.000
Ca3 0.000 0.500 0.500
Pu1 0.000 0.000 0.000
Cl1 0.250 0.500 0.750
Cl2 0.745 0.000 0.745
Cl3 0.255 0.000 0.255
Cl4 0.750 0.500 0.250
Cl5 0.745 0.745 0.000
Cl6 0.255 0.255 0.000
Cl7 0.750 0.250 0.500
Cl8 0.250 0.750 0.500
Cl9 0.500 0.250 0.750
Cl10 0.000 0.745 0.745
Cl11 0.500 0.750 0.250
Cl12 0.000 0.255 0.255
```

=====

[3]
Material: Na2GePt
Method: DFT, PBE-GGA
State: optimized geometry

Output
energy relative to the elements: -259 meV per atom
V: 22.22 A^3/atom
total magnetization: 0.00 μB/cell

```
data_Na2GePt
_chemical_formula_sum 'Na4 Ge2 Pt2'
_cell_length_a 5.714
_cell_length_b 5.678
_cell_length_c 5.678
_cell_angle_alpha 105.18
_cell_angle_beta 90.00
_cell_angle_gamma 90.00
_space_group_name_H-M_alt 'P 1'
_space_group_IT_number 1
loop_
_space_group_symop_operation_xyz
'x,y,z'
loop_
_atom_site_label
_atom_site_fract_x
_atom_site_fract_y
_atom_site_fract_z
Na1 0.750 0.989 0.343
Na2 0.250 0.011 0.657
Na3 0.250 0.657 0.011
Na4 0.750 0.343 0.989
Ge1 0.250 0.215 0.215
Ge2 0.750 0.785 0.785
Pt1 0.500 0.500 0.500
Pt2 0.000 0.500 0.500
```